# Ac4TlCoPb | Alexandria via LeMat-Bulk | GGA-PBE | optimized geometry
# Total magnetization (μB/cell): 0.0
# SG: Cmcm (63)
# Energy relative to the elements (eV per formula unit): -1.79
data_Ac4TlCoPb
_symmetry_space_group_name_H-M 'P 1'
_symmetry_Int_Tables_number 1
_cell_length_a 7.5854
_cell_length_b 7.5599
_cell_length_c 9.6588
_cell_angle_alpha 90.00
_cell_angle_beta 113.12
_cell_angle_gamma 90.00
loop_
_symmetry_equiv_pos_as_xyz
'x,y,z'
loop_
_atom_site_label
_atom_site_fract_x
_atom_site_fract_y
_atom_site_fract_z
Ac1 0.9247 0.2500 0.8495
Ac2 0.4235 0.7500 0.8469
Ac3 0.0753 0.7500 0.1505
Ac4 0.5765 0.2500 0.1531
Ac5 0.5000 0.5000 0.5000
Ac6 0.0000 0.0000 0.5000
Ac7 0.5000 0.0000 0.5000
Ac8 0.0000 0.5000 0.5000
Tl1 0.1128 0.2500 0.2255
Tl2 0.8872 0.7500 0.7745
Co1 0.2444 0.7500 0.4888
Co2 0.7556 0.2500 0.5112
Pb1 0.6119 0.7500 0.2238
Pb2 0.3881 0.2500 0.7762